A relaxed structure of Ho3Hf3FeBi2, computed with GGA-PBE.

Cell lengths 7.937, 7.937, 4.102 Å; angles 90.00, 90.00, 120.00 degrees
Sites, in units of the cell vectors:
Hf: 0.000 0.216 0.500
Hf: 0.216 0.000 0.500
Hf: 0.784 0.784 0.500
Ho: 0.388 0.388 0.000
Ho: 0.612 0.000 0.000
Ho: 0.000 0.612 0.000
Bi: 0.667 0.333 0.500
Bi: 0.333 0.667 0.500
Fe: 0.000 0.000 0.000

Mass density (g cm⁻³): 11.2
Excess energy over the best structure of this formula in the dataset (meV/atom): 0.0

---

A relaxed structure of HfFeBiIr, computed with GGA-PBE.

Cell lengths 4.651, 4.651, 4.651 Å; angles 60.00, 60.00, 60.00 degrees
Sites, in units of the cell vectors:
Bi: 0.000 0.000 0.000
Ir: 0.250 0.250 0.250
Hf: 0.500 0.500 0.500
Fe: 0.750 0.750 0.750

Mass density (g cm⁻³): 14.8
Excess energy over the best structure of this formula in the dataset (meV/atom): 0.0

---

A relaxed structure of HfFeBiIr, computed with GGA-PBE.

Cell lengths 4.651, 4.651, 4.651 Å; angles 60.00, 60.00, 60.00 degrees
Sites, in units of the cell vectors:
Hf: 0.250 0.250 0.250
Ir: 0.500 0.500 0.500
Bi: 0.000 0.000 0.000
Fe: 0.750 0.750 0.750

Mass density (g cm⁻³): 14.8
Excess energy over the best structure of this formula in the dataset (meV/atom): 253.2

---

A relaxed structure of LuHfFeBi, computed with GGA-PBE.

Cell lengths 4.892, 4.892, 4.892 Å; angles 60.00, 60.00, 60.00 degrees
Sites, in units of the cell vectors:
Hf: 0.500 0.500 0.500
Bi: 0.000 0.000 0.000
Fe: 0.750 0.750 0.750
Lu: 0.250 0.250 0.250

Mass density (g cm⁻³): 12.4
Excess energy over the best structure of this formula in the dataset (meV/atom): 0.0

---

A relaxed structure of HfMgFeBi, computed with GGA-PBE.

Cell lengths 4.783, 4.783, 4.783 Å; angles 60.00, 60.00, 60.00 degrees
Sites, in units of the cell vectors:
Mg: 0.500 0.500 0.500
Fe: 0.750 0.750 0.750
Hf: 0.250 0.250 0.250
Bi: 0.000 0.000 0.000

Mass density (g cm⁻³): 10.0
Excess energy over the best structure of this formula in the dataset (meV/atom): 172.6

---

A relaxed structure of HfMgFeBi, computed with GGA-PBE.

Cell lengths 4.730, 4.730, 4.730 Å; angles 60.00, 60.00, 60.00 degrees
Sites, in units of the cell vectors:
Bi: 0.000 0.000 0.000
Hf: 0.500 0.500 0.500
Fe: 0.750 0.750 0.750
Mg: 0.250 0.250 0.250

Mass density (g cm⁻³): 10.4
Excess energy over the best structure of this formula in the dataset (meV/atom): 0.0

---

A relaxed structure of HfFeBiMo, computed with GGA-PBE.

Cell lengths 4.626, 4.626, 4.626 Å; angles 60.00, 60.00, 60.00 degrees
Sites, in units of the cell vectors:
Hf: 0.500 0.500 0.500
Bi: 0.000 0.000 0.000
Mo: 0.250 0.250 0.250
Fe: 0.750 0.750 0.750

Mass density (g cm⁻³): 12.8
Excess energy over the best structure of this formula in the dataset (meV/atom): 0.0

---

A relaxed structure of HfNbFeBi, computed with GGA-PBE.

Cell lengths 4.706, 4.706, 4.706 Å; angles 60.00, 60.00, 60.00 degrees
Sites, in units of the cell vectors:
Fe: 0.750 0.750 0.750
Hf: 0.500 0.500 0.500
Nb: 0.250 0.250 0.250
Bi: 0.000 0.000 0.000

Mass density (g cm⁻³): 12.1
Excess energy over the best structure of this formula in the dataset (meV/atom): 0.0

---

A relaxed structure of Hf2FeNiBi2, computed with GGA-PBE.

Cell lengths 6.215, 6.215, 7.593 Å; angles 65.84, 65.84, 90.00 degrees
Sites, in units of the cell vectors:
Hf: 0.367 0.875 0.750
Hf: 0.883 0.375 0.750
Hf: 0.125 0.117 0.250
Hf: 0.625 0.633 0.250
Fe: 0.000 0.000 0.000
Fe: 0.250 0.750 0.500
Bi: 0.876 0.875 0.750
Bi: 0.625 0.124 0.250
Bi: 0.125 0.626 0.250
Bi: 0.374 0.375 0.750
Ni: 0.500 0.500 0.000
Ni: 0.750 0.250 0.500

E (eV per atom): -7.2645
Mass density (g cm⁻³): 12.4

---

A relaxed structure of Hf2FeBi2Pd, computed with GGA-PBE.

Cell lengths 7.734, 7.734, 6.364 Å; angles 114.29, 114.29, 108.84 degrees
Sites, in units of the cell vectors:
Fe: 0.250 0.750 0.500
Fe: 0.000 0.000 0.000
Hf: 0.125 0.375 0.013
Hf: 0.888 0.638 0.513
Hf: 0.362 0.112 0.487
Hf: 0.625 0.875 0.987
Bi: 0.362 0.112 0.987
Bi: 0.125 0.375 0.487
Bi: 0.625 0.875 0.513
Bi: 0.888 0.638 0.013
Pd: 0.500 0.500 0.000
Pd: 0.750 0.250 0.500

E (eV per atom): -7.2519
Mass density (g cm⁻³): 12.2

---

A relaxed structure of Hf2FeBi2Pt, computed with GGA-PBE.

Cell lengths 6.328, 6.328, 7.696 Å; angles 65.72, 65.72, 90.00 degrees
Sites, in units of the cell vectors:
Hf: 0.625 0.629 0.250
Hf: 0.125 0.121 0.250
Hf: 0.371 0.875 0.750
Hf: 0.879 0.375 0.750
Bi: 0.352 0.375 0.750
Bi: 0.898 0.875 0.750
Bi: 0.625 0.102 0.250
Bi: 0.125 0.648 0.250
Fe: 0.000 0.000 0.000
Fe: 0.250 0.750 0.500
Pt: 0.750 0.250 0.500
Pt: 0.500 0.500 0.000

E (eV per atom): -7.4842
Mass density (g cm⁻³): 13.6

---

A relaxed structure of HfFeReBi, computed with GGA-PBE.

Cell lengths 4.596, 4.596, 4.596 Å; angles 60.00, 60.00, 60.00 degrees
Sites, in units of the cell vectors:
Bi: 0.000 0.000 0.000
Fe: 0.750 0.750 0.750
Re: 0.250 0.250 0.250
Hf: 0.500 0.500 0.500

Mass density (g cm⁻³): 15.2
Excess energy over the best structure of this formula in the dataset (meV/atom): 0.0